No. 1
An optimized crystal structure of YTlAs2, computed with GGA-PBEsol.

crystal system = monoclinic
ΔE to the lowest computed polymorph = 0 meV per atom
D(E_F) = 2.12 states/eV per cell
E_form = -0.58 eV per atom
M_tot = 0.0 μB per cell
total energy = -5.50 eV/atom

a b c (Å): 4.0671 4.0657 5.9128
angles (deg): 90.00 90.14 90.00
With the nearest neighbours (Å) after each atom.
Space group P2/m (No. 10)
Symmetry-distinct sites (fractional):
1 Y 0.0000 0.0000 0.0000 [1 per cell]  6 As 2.88-2.96
2 Tl 0.5000 0.5000 0.5000 [1 per cell]  6 As 2.88-2.96
3 As 0.0000 0.0000 0.5000 [1 per cell]  4 Tl 2.88, 2 Y 2.96
4 As 0.5000 0.5000 0.0000 [1 per cell]  4 Y 2.88, 2 Tl 2.96

No. 2
An optimized crystal structure of Rb2TaAlSn, computed with GGA-PBEsol.

crystal system = tetragonal
D(E_F) = 9.42 states/eV per cell
E_form = 1.61 eV per atom
M_tot = 3.7 μB per cell
total energy = -2.98 eV/atom

a b c (Å): 6.4694 6.4694 5.1027
angles (deg): 90.00 90.00 90.00
With the nearest neighbours (Å) after each atom.
Space group P4/mmm (No. 123)
Symmetry-distinct sites (fractional):
1 Rb 0.0000 0.5000 0.0000 [2 per cell]  2 Al 3.23
2 Ta 0.0000 0.0000 0.5000 [1 per cell]  8 Rb 4.12, 4 Sn 4.57
3 Al 0.5000 0.5000 0.0000 [1 per cell]  2 Sn 2.55
4 Sn 0.5000 0.5000 0.5000 [1 per cell]  2 Al 2.55

No. 3
An optimized crystal structure of CaTc2Rh, computed with GGA-PBEsol.

crystal system = tetragonal
ΔE to the lowest computed polymorph = 238 meV per atom
D(E_F) = 5.15 states/eV per cell
E_form = 0.73 eV per atom
M_tot = 0.0 μB per cell
total energy = -7.47 eV/atom

a b c (Å): 4.7727 4.7727 2.7483
angles (deg): 90.00 90.00 90.00
With the nearest neighbours (Å) after each atom.
Space group P4/mmm (No. 123)
Symmetry-distinct sites (fractional):
1 Ca 0.0000 0.0000 0.0000 [1 per cell]  2 Ca 2.75, 8 Tc 2.75
2 Tc 0.0000 0.5000 0.5000 [2 per cell]  2 Tc 2.75, 4 Rh 2.75, 4 Ca 2.75
3 Rh 0.5000 0.5000 0.0000 [1 per cell]  2 Rh 2.75, 8 Tc 2.75

No. 4
An optimized crystal structure of NaMgZr2Co, computed with GGA-PBEsol.

crystal system = tetragonal
D(E_F) = 5.02 states/eV per cell
E_form = 0.45 eV per atom
M_tot = 0.0 μB per cell
total energy = -5.35 eV/atom

a b c (Å): 4.7020 4.7020 5.2812
angles (deg): 90.00 90.00 90.00
With the nearest neighbours (Å) after each atom.
Space group P4/mmm (No. 123)
Symmetry-distinct sites (fractional):
1 Na 0.0000 0.0000 0.0000 [1 per cell]  2 Co 2.64
2 Mg 0.5000 0.5000 0.0000 [1 per cell]  4 Na 3.32, 8 Zr 3.54
3 Zr 0.0000 0.5000 0.5000 [2 per cell]  2 Co 2.35
4 Co 0.0000 0.0000 0.5000 [1 per cell]  4 Zr 2.35

No. 5
An optimized crystal structure of ScAg2Pb, computed with GGA-PBEsol.

crystal system = tetragonal
D(E_F) = 3.78 states/eV per cell
E_form = -0.19 eV per atom
M_tot = 0.0 μB per cell
total energy = -4.50 eV/atom

a b c (Å): 4.3482 4.3482 8.4311
angles (deg): 90.00 90.00 90.00
With the nearest neighbours (Å) after each atom.
Space group I4/mmm (No. 139)
Symmetry-distinct sites (fractional):
1 Sc 0.0000 0.0000 0.0000 [2 per cell]  8 Ag 3.03, 4 Pb 3.07
2 Ag 0.0000 0.5000 0.2500 [4 per cell]  4 Pb 3.03, 4 Sc 3.03, 4 Ag 3.07
3 Pb 0.0000 0.0000 0.5000 [2 per cell]  8 Ag 3.03, 4 Sc 3.07

No. 6
An optimized crystal structure of TlHgSb, computed with GGA-PBEsol.

crystal system = cubic
D(E_F) = 3.78 states/eV per cell
M_tot = 0.0 μB per cell
total energy = -2.37 eV/atom

a b c (Å): 7.1174 7.1174 7.1174
angles (deg): 90.00 90.00 90.00
With the nearest neighbours (Å) after each atom.
Space group F-43m (No. 216)
Symmetry-distinct sites (fractional):
1 Tl 0.0000 0.0000 0.0000 [4 per cell]  4 Hg 3.08, 4 Sb 3.08
2 Hg 0.2500 0.2500 0.2500 [4 per cell]  4 Tl 3.08
3 Sb 0.2500 0.2500 0.7500 [4 per cell]  4 Tl 3.08

No. 7
An optimized crystal structure of TlAsIO2, computed with GGA-PBEsol.

crystal system = tetragonal
D(E_F) = 3.30 states/eV per cell
M_tot = 1.6 μB per cell
total energy = -3.56 eV/atom

a b c (Å): 4.1448 4.1448 6.6000
angles (deg): 90.00 90.00 90.00
With the nearest neighbours (Å) after each atom.
Space group P4/mmm (No. 123)
Symmetry-distinct sites (fractional):
1 Tl 0.0000 0.0000 0.0000 [1 per cell]  4 O 2.07
2 As 0.5000 0.5000 0.5000 [1 per cell]  4 I 2.93
3 I 0.0000 0.0000 0.5000 [1 per cell]  4 As 2.93
4 O 0.0000 0.5000 0.0000 [2 per cell]  2 Tl 2.07

No. 8
An optimized crystal structure of HfSc3Sb, computed with GGA-PBEsol.

crystal system = cubic
D(E_F) = 9.71 states/eV per cell
M_tot = 2.2 μB per cell
total energy = -6.47 eV/atom

a b c (Å): 5.2156 5.2156 5.2156
angles (deg): 90.00 90.00 90.00
With the nearest neighbours (Å) after each atom.
Space group Pm-3m (No. 221)
Symmetry-distinct sites (fractional):
1 Hf 0.0000 0.0000 0.0000 [1 per cell]  12 Sc 3.69
2 Sc 0.0000 0.5000 0.5000 [3 per cell]  2 Sb 2.61
3 Sb 0.5000 0.5000 0.5000 [1 per cell]  6 Sc 2.61

No. 9
An optimized crystal structure of Ga2Si2Pb, computed with GGA-PBEsol.

crystal system = tetragonal
D(E_F) = 3.63 states/eV per cell
M_tot = 0.0 μB per cell
total energy = -4.22 eV/atom

a b c (Å): 4.3140 4.3140 10.5031
angles (deg): 90.00 90.00 90.00
With the nearest neighbours (Å) after each atom.
Space group I4/mmm (No. 139)
Symmetry-distinct sites (fractional):
1 Ga 0.0000 0.0000 0.1178 [4 per cell]  1 Ga 2.48, 4 Si 2.57
2 Si 0.0000 0.5000 0.2500 [4 per cell]  4 Ga 2.57
3 Pb 0.0000 0.0000 0.5000 [2 per cell]  8 Ga 3.29, 8 Si 3.40

No. 10
An optimized crystal structure of MnIn2Pt, computed with GGA-PBEsol.

crystal system = monoclinic
D(E_F) = 5.42 states/eV per cell
E_form = 0.03 eV per atom
M_tot = 7.2 μB per cell
total energy = -5.65 eV/atom

a b c (Å): 8.9278 3.1088 5.2093
angles (deg): 90.00 101.35 90.00
With the nearest neighbours (Å) after each atom.
Space group C2/m (No. 12)
Symmetry-distinct sites (fractional):
1 Mn 0.0000 0.0000 0.0000 [2 per cell]  6 In 2.79-2.84, 4 Pt 3.03, 2 Mn 3.11
2 In 0.2476 0.0000 0.7473 [4 per cell]  3 Mn 2.79-2.84, 3 Pt 2.80-2.81, 6 In 3.02-3.11
3 Pt 0.0000 0.5000 0.5000 [2 per cell]  6 In 2.80-2.81, 4 Mn 3.03, 2 Pt 3.11

No. 11
An optimized crystal structure of CdPb2, computed with GGA-PBEsol.

crystal system = tetragonal
ΔE to the lowest computed polymorph = 5 meV per atom
D(E_F) = 2.31 states/eV per cell
E_form = 0.04 eV per atom
M_tot = 0.0 μB per cell
total energy = -3.03 eV/atom

a b c (Å): 3.4866 3.4866 13.2919
angles (deg): 90.00 90.00 90.00
With the nearest neighbours (Å) after each atom.
Space group I4/mmm (No. 139)
Symmetry-distinct sites (fractional):
1 Cd 0.0000 0.0000 0.0000 [2 per cell]  8 Pb 3.23, 4 Cd 3.49
2 Pb 0.0000 0.0000 0.3435 [4 per cell]  4 Cd 3.23, 8 Pb 3.49-3.50

No. 12
An optimized crystal structure of HfRhSN2, computed with GGA-PBEsol.

crystal system = tetragonal
D(E_F) = 4.85 states/eV per cell
M_tot = 0.0 μB per cell
total energy = -7.60 eV/atom

a b c (Å): 3.8185 3.8185 4.5387
angles (deg): 90.00 90.00 90.00
With the nearest neighbours (Å) after each atom.
Space group P4/mmm (No. 123)
Symmetry-distinct sites (fractional):
1 Hf 0.0000 0.0000 0.0000 [1 per cell]  4 S 2.70, 8 N 2.97
2 Rh 0.5000 0.5000 0.5000 [1 per cell]  4 N 1.91
3 S 0.5000 0.5000 0.0000 [1 per cell]  2 Rh 2.27
4 N 0.0000 0.5000 0.5000 [2 per cell]  2 Rh 1.91

No. 13
An optimized crystal structure of CeSi2Ru3, computed with GGA-PBEsol.

crystal system = hexagonal
D(E_F) = 5.31 states/eV per cell
M_tot = 0.0 μB per cell
total energy = -8.76 eV/atom

a b c (Å): 5.5367 5.5367 3.5736
angles (deg): 90.00 90.00 120.00
With the nearest neighbours (Å) after each atom.
Space group P6/mmm (No. 191)
Symmetry-distinct sites (fractional):
1 Ce 0.0000 0.0000 0.0000 [1 per cell]  6 Si 3.20, 12 Ru 3.29, 2 Ce 3.57
2 Si 0.3333 0.6667 0.0000 [2 per cell]  6 Ru 2.40
3 Ru 0.0000 0.5000 0.5000 [3 per cell]  4 Si 2.40

No. 14
An optimized crystal structure of LaPS2F, computed with GGA-PBEsol.

crystal system = tetragonal
D(E_F) = 2.90 states/eV per cell
M_tot = 0.0 μB per cell
total energy = -5.14 eV/atom

a b c (Å): 4.7893 4.7893 3.9233
angles (deg): 90.00 90.00 90.00
With the nearest neighbours (Å) after each atom.
Space group P4/mmm (No. 123)
Symmetry-distinct sites (fractional):
1 La 0.0000 0.0000 0.0000 [1 per cell]  8 S 3.10, 4 P 3.39
2 P 0.5000 0.5000 0.0000 [1 per cell]  2 F 1.96
3 S 0.0000 0.5000 0.5000 [2 per cell]  2 F 2.39
4 F 0.5000 0.5000 0.5000 [1 per cell]  2 P 1.96

No. 15
An optimized crystal structure of K3InI6O18, computed with GGA-PBEsol.

crystal system = orthorhombic
D(E_F) = 0.00 states/eV per cell
M_tot = 0.0 μB per cell
total energy = -4.81 eV/atom

a b c (Å): 8.0851 39.5335 11.1222
angles (deg): 90.00 90.00 90.00
With the nearest neighbours (Å) after each atom.
Space group Fdd2 (No. 43)
Symmetry-distinct sites (fractional):
1 K 0.0000 0.0000 0.0000 [8 per cell]  4 O 2.67
2 K 0.0507 0.0977 0.9969 [16 per cell]  6 O 2.64-2.86
3 In 0.0000 0.0000 0.5008 [8 per cell]  6 O 2.11-2.18
4 I 0.0398 0.2014 0.9973 [16 per cell]  3 O 1.83-1.88
5 I 0.0408 0.2022 0.5040 [16 per cell]  3 O 1.83-1.88
6 I 0.0821 0.0935 0.5033 [16 per cell]  3 O 1.83-1.86
7 O 0.0108 0.4535 0.6738 [16 per cell]  1 I 1.84
8 O 0.0107 0.4537 0.3254 [16 per cell]  1 I 1.83
9 O 0.0121 0.3500 0.6363 [16 per cell]  1 I 1.83
10 O 0.0314 0.3493 0.8843 [16 per cell]  1 I 1.84
11 O 0.0657 0.2369 0.8867 [16 per cell]  1 I 1.88
12 O 0.0680 0.2383 0.6129 [16 per cell]  1 I 1.88
13 O 0.0826 0.1668 0.8922 [16 per cell]  1 I 1.83
14 O 0.0860 0.1685 0.6119 [16 per cell]  1 I 1.83
15 O 0.1212 0.0472 0.5027 [16 per cell]  1 I 1.86

No. 16
An optimized crystal structure of Be2AgHI, computed with GGA-PBEsol.

crystal system = tetragonal
D(E_F) = 1.45 states/eV per cell
M_tot = 1.0 μB per cell
total energy = -2.06 eV/atom

a b c (Å): 4.4326 4.4326 5.6426
angles (deg): 90.00 90.00 90.00
With the nearest neighbours (Å) after each atom.
Space group P4/mmm (No. 123)
Symmetry-distinct sites (fractional):
1 Be 0.0000 0.5000 0.0000 [2 per cell]  2 Ag 2.22
2 Ag 0.0000 0.0000 0.0000 [1 per cell]  4 Be 2.22
3 H 0.5000 0.5000 0.5000 [1 per cell]  4 I 3.13
4 I 0.0000 0.0000 0.5000 [1 per cell]  2 Ag 2.82, 4 H 3.13

No. 17
An optimized crystal structure of CdRhW2C, computed with GGA-PBEsol.

crystal system = tetragonal
D(E_F) = 4.58 states/eV per cell
E_form = 0.59 eV per atom
M_tot = 0.0 μB per cell
total energy = -8.72 eV/atom

a b c (Å): 4.0632 4.0632 4.4275
angles (deg): 90.00 90.00 90.00
With the nearest neighbours (Å) after each atom.
Space group P4/mmm (No. 123)
Symmetry-distinct sites (fractional):
1 Cd 0.0000 0.0000 0.0000 [1 per cell]  2 C 2.21
2 Rh 0.5000 0.5000 0.0000 [1 per cell]  4 Cd 2.87, 8 W 3.00
3 W 0.0000 0.5000 0.5000 [2 per cell]  2 C 2.03
4 C 0.0000 0.0000 0.5000 [1 per cell]  4 W 2.03, 2 Cd 2.21

No. 18
An optimized crystal structure of TaTl3Cd, computed with GGA-PBEsol.

crystal system = cubic
D(E_F) = 6.53 states/eV per cell
E_form = 0.82 eV per atom
M_tot = 0.0 μB per cell
total energy = -3.51 eV/atom

a b c (Å): 5.4352 5.4352 5.4352
angles (deg): 90.00 90.00 90.00
With the nearest neighbours (Å) after each atom.
Space group Pm-3m (No. 221)
Symmetry-distinct sites (fractional):
1 Ta 0.0000 0.0000 0.0000 [1 per cell]  6 Tl 2.72
2 Tl 0.0000 0.0000 0.5000 [3 per cell]  2 Ta 2.72
3 Cd 0.5000 0.5000 0.5000 [1 per cell]  12 Tl 3.84

No. 19
An optimized crystal structure of BaTe2Au, computed with GGA-PBEsol.

crystal system = monoclinic
ΔE to the lowest computed polymorph = 71 meV per atom
D(E_F) = 1.32 states/eV per cell
M_tot = 0.0 μB per cell
total energy = -4.05 eV/atom

a b c (Å): 4.6406 4.2146 6.9931
angles (deg): 90.00 90.46 90.00
With the nearest neighbours (Å) after each atom.
Space group P2/m (No. 10)
Symmetry-distinct sites (fractional):
1 Ba 0.0000 0.0000 0.0000 [1 per cell]  8 Te 3.57
2 Te 0.4981 0.5000 0.7558 [2 per cell]  2 Au 2.76
3 Au 0.5000 0.0000 0.5000 [1 per cell]  4 Te 2.76

No. 20
An optimized crystal structure of ZnNi3, computed with GGA-PBEsol.

crystal system = monoclinic
D(E_F) = 4.96 states/eV per cell
E_form = -0.05 eV per atom
M_tot = 0.6 μB per cell
total energy = -5.07 eV/atom

a b c (Å): 2.4513 4.0769 4.3917
angles (deg): 90.00 94.92 90.00
With the nearest neighbours (Å) after each atom.
Space group P2/m (No. 10)
Symmetry-distinct sites (fractional):
1 Zn 0.0000 0.0000 0.0000 [1 per cell]  8 Ni 2.42-2.60, 2 Zn 2.45
2 Ni 0.2585 0.5000 0.7438 [2 per cell]  8 Ni 2.39-2.68, 2 Zn 2.44
3 Ni 0.5000 0.0000 0.5000 [1 per cell]  6 Ni 2.40-2.45, 4 Zn 2.42-2.60